Density functional theory data (GGA-PBEsol) for crystalline Cd3Cl5 at its relaxed geometry.

Cell and atoms, written as extended XYZ:
```
8
Lattice="-1.155 -0.475 3.591 -5.702 -3.618 -2.312 5.491 -4.404 1.184" Properties=species:S:1:pos:R:3 pbc="T T T"
Cd -4.380 -3.989 0.077
Cd -0.106 -4.011 -0.564
Cd 3.014 -4.508 2.386
Cl -2.851 -1.809 -1.156
Cl 0.000 0.000 0.000
Cl 2.745 -2.202 0.592
Cl -0.725 -5.846 1.007
Cl -0.641 -2.651 1.456
```

Calculated values
* crystal system: orthorhombic
* ρ: 4.72 g/cm3
* total DFT energy (no corrections): -2.406 eV/atom